Record 1
DFT (GGA-PBE) results for an optimized crystal structure of DyBi3S6.

```
20
Lattice="3.9795 0.0000 0.0000 0.0000 11.6346 0.3697 0.0000 -3.5261 11.0763" Properties=species:S:1:pos:R:3 pbc="T T T"
Dy 2.9846 -1.9809 7.6052
Dy 0.9949 10.0894 3.8409
Bi 2.9846 2.0205 9.3977
Bi 0.9949 6.0880 2.0483
Bi 2.9846 6.4347 5.6037
Bi 0.9949 1.6738 5.8424
Bi 2.9846 1.4573 1.0704
Bi 0.9949 6.6512 10.3756
S 2.9846 3.2096 6.9814
S 0.9949 4.8989 4.4646
S 2.9846 10.4403 1.6528
S 0.9949 -2.3318 9.7932
S 2.9846 4.4996 1.1748
S 0.9949 3.6089 10.2712
S 2.9846 7.9807 3.4333
S 0.9949 0.1278 8.0127
S 2.9846 -0.4526 5.1457
S 0.9949 8.5611 6.3003
S 2.9846 6.8014 8.6093
S 0.9949 1.3071 2.8368
```

Output
Symmetry: P2_1/m (11)
Electronic total energy in eV/atom: -4.88
Total moment in μB per formula unit: 0.0

***

Record 2
DFT (GGA-PBE) results for an optimized crystal structure of Dy3Bi2S8.

```
13
Lattice="6.8060 0.0000 0.2315 0.0000 7.9638 0.0000 -2.4957 -3.9819 6.4431" Properties=species:S:1:pos:R:3 pbc="T T T"
Dy 3.4030 0.0000 0.1157
Dy 0.0000 2.0527 0.0000
Dy 0.0000 5.9111 0.0000
Bi 0.9854 0.0000 3.5362
Bi 3.3249 3.9819 3.1384
S 5.6766 3.9819 1.7476
S -1.3663 0.0000 4.9270
S 5.6768 0.0000 1.6658
S -1.3665 3.9819 5.0088
S 2.1431 2.1002 5.0262
S 2.1431 -2.1002 5.0262
S 2.1672 6.0821 1.6484
S 2.1672 1.8817 1.6484
```

Output
Symmetry: C2/m (12)
Electronic total energy in eV/atom: -5.39
Total moment in μB per formula unit: 0.0

***

Record 3
DFT (GGA-PBE) results for an optimized crystal structure of Dy2BiS.

```
4
Lattice="-1.0636 1.9461 3.3758 -1.0038 -2.0920 3.3062 6.3296 0.0177 4.4004" Properties=species:S:1:pos:R:3 pbc="T T T"
Dy 4.8859 0.0041 3.9534
Dy 0.7755 -0.0348 2.6808
Bi 2.1510 -0.0639 5.5474
S 4.9103 -0.0799 8.8424
```

Output
Symmetry: R3m (160)
Energy relative to the lowest polymorph listed for this composition in eV/atom: 0.040
Total moment in μB per formula unit: 0.0

***

Record 4
DFT (GGA-PBE) results for an optimized crystal structure of DyBiS.

```
3
Lattice="3.5933 0.0000 0.0000 0.0000 3.5933 0.0000 -1.7966 -1.7966 6.1495" Properties=species:S:1:pos:R:3 pbc="T T T"
S 0.0000 0.0000 3.5103
Bi 0.0000 0.0000 0.0857
Dy 1.7966 1.7966 2.5535
```

Output
Symmetry: I4mm (107)
Electronic total energy in eV/atom: -5.31
Total moment in μB per formula unit: 0.0

***

Record 5
DFT (GGA-PBE) results for an optimized crystal structure of Dy3BiSbS.

```
12
Lattice="-0.2767 -2.3888 3.7455 -6.7759 -4.5117 -3.3780 7.2124 -5.6249 -3.0546" Properties=species:S:1:pos:R:3 pbc="T T T"
Dy -1.8353 -7.1126 -3.3495
Dy -5.2987 -6.5466 -0.5996
Dy -1.9262 -4.4148 1.0091
Dy 1.9951 -5.4128 0.6623
Dy 2.0860 -8.1106 -3.6963
Dy 5.4585 -5.9788 -2.0875
Bi -0.1564 -9.9879 -2.4145
Bi 0.3162 -2.5375 -0.2727
Sb -3.2155 -4.5184 -1.7969
Sb 3.3753 -8.0070 -0.8902
S 3.4772 -4.4316 -1.2471
S -3.3174 -8.0938 -1.4400
```

Output
Symmetry: P2_1/m (11)
Electronic total energy in eV/atom: -5.41
Total moment in μB per formula unit: 0.0

***

Record 6
DFT (GGA-PBE) results for an optimized crystal structure of Dy4Bi2SeS.

```
8
Lattice="-2.9667 1.5262 2.5836 -2.4718 -6.8560 1.2118 3.5199 -2.8508 5.7258" Properties=species:S:1:pos:R:3 pbc="T T T"
Dy 0.9234 -7.1155 5.2636
Dy -2.8419 -1.0651 4.2576
Dy -2.3851 -4.9109 3.6081
Dy 0.4665 -3.2697 5.9131
Bi 3.5199 -2.8508 5.7258
Bi 0.2766 -0.6623 4.1547
Se 0.5241 -4.8534 3.4688
S -2.7192 -2.6649 1.8977
```

Output
Symmetry: P2/m (10)
Electronic total energy in eV/atom: -5.54
Total moment in μB per formula unit: 0.0

***

Record 7
DFT (GGA-PBE) results for an optimized crystal structure of Dy3BiSeS.

```
12
Lattice="-2.9981 2.9579 0.3584 -4.6979 -5.2512 4.0388 5.6720 4.9205 6.8381" Properties=species:S:1:pos:R:3 pbc="T T T"
Dy -1.5191 -0.8800 7.0168
Dy -5.8475 -1.9680 4.7136
Dy -3.4764 0.5636 3.6552
Dy -0.5049 3.5072 4.2186
Dy 1.4524 2.0637 7.5801
Dy 3.8235 4.5952 6.5217
Bi -1.5535 1.9011 8.7018
Bi -0.4705 0.7262 2.5335
Se -3.3743 -2.3253 3.4263
Se 1.3503 4.9525 7.8090
S 2.0394 2.9687 5.0213
S -4.0634 -0.3414 6.2140
```

Output
Symmetry: P2_1/m (11)
Electronic total energy in eV/atom: -5.58
Total moment in μB per formula unit: 0.0

***

Record 8
DFT (GGA-PBE) results for an optimized crystal structure of Dy4BiSeS2.

```
8
Lattice="4.0627 0.0000 0.0000 0.0000 7.1912 -0.2013 0.0000 2.4745 6.5904" Properties=species:S:1:pos:R:3 pbc="T T T"
Dy 0.0001 7.4536 4.6437
Dy 4.0627 2.2121 1.7454
Dy 2.0314 6.2081 1.4834
Dy 2.0314 3.4576 4.9057
Bi 2.0314 3.5956 -0.1006
Se 0.0000 4.8328 3.1946
S 0.0000 2.4745 6.5904
S 2.0314 1.2372 3.2952
```

Output
Symmetry: P2/m (10)
Electronic total energy in eV/atom: -5.86
Total moment in μB per formula unit: 0.0

***

total moment of number 4 (DyBiS)?
0.0 μB per formula unit